A plane-wave DFT calculation with GGA-PBE was carried out for an optimized crystal structure of InTcTe2.

It has space group C2/m (No. 12), with a = 7.5365 Å, b = 3.3777 Å, c = 8.3580 Å, α = 90.00°, β = 95.01° and γ = 90.00°. Symmetry generates all atoms from In at (0.0000, 0.0000, 0.0000), Tc at (0.0000, 0.5000, 0.5000) and Te at (0.2167, 0.0000, 0.6793).

For the electronic total energy, the calculation gives -4.7847 eV/atom. The calculation puts the volume at 26.49 Å³/atom. The calculation puts the total magnetization at 0.0 μB/cell.